# CaSbSe2N | Alexandria via LeMat-Bulk | PBE | optimized geometry
data_CaSbSe2N
_chemical_formula_sum 'Ca1 Sb1 Se2 N1'
_cell_length_a 5.404
_cell_length_b 5.404
_cell_length_c 4.017
_cell_angle_alpha 90.00
_cell_angle_beta 90.00
_cell_angle_gamma 90.00
_space_group_name_H-M_alt 'P 4/m m m'
_space_group_IT_number 123
_space_group_name_Hall '-P 4 2'
loop_
_atom_site_label
_atom_site_type_symbol
_atom_site_fract_x
_atom_site_fract_y
_atom_site_fract_z
Ca1 Ca 0.000 0.000 0.000
Sb1 Sb 0.500 0.500 0.500
Se1 Se 0.000 0.500 0.500
N1 N 0.500 0.500 0.000
# ΔE_f (raw)	-0.100	eV per atom
# energy above the lowest structure with this stoichiometry	0	meV/atom